(1)
Density functional theory data (GGA-PBE) for crystalline Ca2Sn3Pt at its relaxed geometry.

- Calculated formation energy: -594.6 meV/atom
- Distance to the lowest polymorph of the same formula: 63 meV per atom
- Space-group type: No. 25

Structure (POSCAR):
```
Ca2Sn3Pt
1.0
3.947 0.000 0.000
0.000 4.847 0.000
0.000 0.000 8.233
Sn Ca Pt
3 2 1
Direct
0.500 0.000 0.834
0.500 0.000 0.183
0.500 0.500 0.645
0.000 0.000 0.486
0.000 0.500 0.031
0.500 0.500 0.322
```

***

(2)
Density functional theory data (GGA-PBE) for crystalline CaSn3Pt at its relaxed geometry.

- Calculated formation energy: -236.0 meV/atom
- Space-group type: No. 63

Structure (POSCAR):
```
CaSn3Pt
1.0
5.000 0.000 -1.013
0.000 6.500 0.000
-0.959 0.000 8.106
Ca Sn Pt
2 6 2
Direct
0.089 0.750 0.178
0.911 0.250 0.822
0.888 0.750 0.775
0.112 0.250 0.225
0.693 0.990 0.387
0.307 0.490 0.613
0.693 0.510 0.387
0.307 0.010 0.613
0.451 0.750 0.903
0.549 0.250 0.097
```

***

(3)
Density functional theory data (GGA-PBE) for crystalline CaSn2Pt at its relaxed geometry.

- Calculated formation energy: -635.5 meV/atom
- Space-group type: No. 15

Structure (POSCAR):
```
CaSn2Pt
1.0
-1.183 -3.651 4.339
2.023 -5.640 -0.106
4.912 0.090 5.281
Ca Sn Pt
2 4 2
Direct
0.150 0.750 0.699
0.850 0.250 0.301
0.588 0.877 0.183
0.771 0.377 0.817
0.412 0.123 0.817
0.229 0.623 0.183
0.266 0.250 0.467
0.734 0.750 0.533
```

***

(4)
Density functional theory data (GGA-PBE) for crystalline CaSn3Pt2 at its relaxed geometry.

- Calculated formation energy: -600.6 meV/atom
- Space-group type: No. 12

Structure (POSCAR):
```
CaSn3Pt2
1.0
4.392 0.000 0.000
-2.196 8.423 -2.980
0.000 -0.084 11.347
Ca Pt Sn
3 6 9
Direct
0.840 0.680 0.303
0.160 0.320 0.697
0.000 0.000 0.000
0.526 0.053 0.799
0.474 0.947 0.201
0.638 0.275 0.442
0.802 0.603 0.871
0.198 0.397 0.129
0.362 0.725 0.558
0.217 0.435 0.384
0.783 0.565 0.616
0.622 0.244 0.184
0.031 0.061 0.338
0.378 0.756 0.816
0.500 0.000 0.500
0.969 0.939 0.662
0.676 0.352 0.954
0.324 0.648 0.046
```

***

(5)
Density functional theory data (GGA-PBE) for crystalline Ca4Sn5Pt3 at its relaxed geometry.

- Calculated formation energy: -633.3 meV/atom
- Space-group type: No. 12

Structure (POSCAR):
```
Ca4Sn5Pt3
1.0
-1.756 -4.160 2.071
-0.072 -3.332 -6.755
8.322 0.780 2.666
Sn Ca Pt
5 4 3
Direct
0.439 0.806 0.878
0.311 0.221 0.622
0.689 0.779 0.378
0.561 0.194 0.122
0.000 0.500 0.000
0.894 0.060 0.787
0.828 0.562 0.655
0.172 0.438 0.345
0.106 0.940 0.213
0.500 0.500 0.000
0.718 0.171 0.436
0.282 0.829 0.564
```

***

(6)
Density functional theory data (GGA-PBE) for crystalline CaSn2Pt2 at its relaxed geometry.

- Calculated formation energy: -466.6 meV/atom
- Space-group type: No. 127

Structure (POSCAR):
```
CaSn2Pt2
1.0
-3.092 6.943 2.787
-7.016 -1.644 -3.689
-1.041 -1.532 2.662
Ca Sn Pt
2 4 4
Direct
0.500 0.500 0.000
0.000 0.000 0.000
0.136 0.364 0.000
0.864 0.636 0.000
0.364 0.864 0.000
0.636 0.136 0.000
0.162 0.662 0.500
0.338 0.162 0.500
0.662 0.838 0.500
0.838 0.338 0.500
```

***

Repeat the third record exactly.
Density functional theory data (GGA-PBE) for crystalline CaSn2Pt at its relaxed geometry.

- Calculated formation energy: -635.5 meV/atom
- Space-group type: No. 15

Structure (POSCAR):
```
CaSn2Pt
1.0
-1.183 -3.651 4.339
2.023 -5.640 -0.106
4.912 0.090 5.281
Ca Sn Pt
2 4 2
Direct
0.150 0.750 0.699
0.850 0.250 0.301
0.588 0.877 0.183
0.771 0.377 0.817
0.412 0.123 0.817
0.229 0.623 0.183
0.266 0.250 0.467
0.734 0.750 0.533
```

***

calculated formation energy of number 5 (Ca4Sn5Pt3)? -633.3 meV/atom

***

What is the calculated formation energy in the fourth record? -600.6 meV/atom